## one
This record from Alexandria via LeMat-Bulk describes Ho2ErCd after structural relaxation. The functional is GGA-PBE.

Values from the calculation:
**Volume**: 29.49 Å³ per atom

```
data_Ho2ErCd
_chemical_formula_sum 'Ho6 Er3 Cd3'
_space_group_name_H-M_alt 'R 3 m'
_space_group_IT_number 160
_space_group_name_Hall 'R 3 -2"'
_cell_length_a 3.5791
_cell_length_b 3.5791
_cell_length_c 31.9017
_cell_angle_alpha 90.00
_cell_angle_beta 90.00
_cell_angle_gamma 120.00
loop_
_atom_site_label
_atom_site_type_symbol
_atom_site_fract_x
_atom_site_fract_y
_atom_site_fract_z
_atom_site_occupancy
Ho1 Ho 0.0000 0.0000 0.0000 1
Ho2 Ho 0.0000 0.0000 0.1768 1
Er1 Er 0.0000 0.0000 0.4216 1
Cd1 Cd 0.0000 0.0000 0.5882 1
```

---

## two
This record from Alexandria via LeMat-Bulk describes Ho2ErCd after structural relaxation. The functional is GGA-PBE.

Values from the calculation:
**Volume**: 28.15 Å³ per atom

```
data_Ho2ErCd
_chemical_formula_sum 'Ho2 Er1 Cd1'
_space_group_name_H-M_alt 'P 4/m m m'
_space_group_IT_number 123
_space_group_name_Hall '-P 4 2'
_cell_length_a 5.328
_cell_length_b 5.328
_cell_length_c 3.966
_cell_angle_alpha 90.00
_cell_angle_beta 90.00
_cell_angle_gamma 90.00
loop_
_atom_site_label
_atom_site_type_symbol
_atom_site_fract_x
_atom_site_fract_y
_atom_site_fract_z
_atom_site_occupancy
Ho1 Ho 0.000 0.500 0.000 1
Er1 Er 0.000 0.000 0.500 1
Cd1 Cd 0.500 0.500 0.500 1
```

---

Q: What are the energies relative to the best structure? A: one 0.0; two 1.2, in kJ/mol of atoms.

---

## one
This record from Alexandria via LeMat-Bulk describes Ho5Er4Cd after structural relaxation. The functional is GGA-PBE.

Values from the calculation:
**Volume**: 29.80 Å³ per atom

```
data_Ho5Er4Cd
_chemical_formula_sum 'Ho5 Er4 Cd1'
_space_group_name_H-M_alt 'P 4/m m m'
_space_group_IT_number 123
_space_group_name_Hall '-P 4 2'
_cell_length_a 3.521
_cell_length_b 3.521
_cell_length_c 24.037
_cell_angle_alpha 90.00
_cell_angle_beta 90.00
_cell_angle_gamma 90.00
loop_
_atom_site_label
_atom_site_type_symbol
_atom_site_fract_x
_atom_site_fract_y
_atom_site_fract_z
_atom_site_occupancy
Ho1 Ho 0.000 0.000 0.000 1
Ho2 Ho 0.000 0.000 0.207 1
Ho3 Ho 0.000 0.000 0.413 1
Er1 Er 0.500 0.500 0.103 1
Er2 Er 0.500 0.500 0.310 1
Cd1 Cd 0.500 0.500 0.500 1
```

---

## two
This record from Alexandria via LeMat-Bulk describes Ho5Er4Cd after structural relaxation. The functional is GGA-PBE.

Values from the calculation:
**Volume**: 31.31 Å³ per atom

```
data_Ho5Er4Cd
_chemical_formula_sum 'Ho10 Er8 Cd2'
_space_group_name_H-M_alt 'I 4 m m'
_space_group_IT_number 107
_space_group_name_Hall 'I 4 -2'
_cell_length_a 10.504
_cell_length_b 10.504
_cell_length_c 5.675
_cell_angle_alpha 90.00
_cell_angle_beta 90.00
_cell_angle_gamma 90.00
loop_
_atom_site_label
_atom_site_type_symbol
_atom_site_fract_x
_atom_site_fract_y
_atom_site_fract_z
_atom_site_occupancy
Ho1 Ho 0.000 0.000 0.000 1
Ho2 Ho 0.185 0.185 0.291 1
Er1 Er 0.000 0.322 0.801 1
Cd1 Cd 0.000 0.000 0.520 1
```

---

Q: What are the energies relative to the best structure? A: one 0.0; two 19.2, in kJ/mol of atoms.

---

## one
This record from Alexandria via LeMat-Bulk describes Ho12Er6Cd after structural relaxation. The functional is GGA-PBE.

Values from the calculation:
**Volume**: 30.66 Å³ per atom

```
data_Ho12Er6Cd
_chemical_formula_sum 'Ho12 Er6 Cd1'
_space_group_name_H-M_alt 'P -1'
_space_group_IT_number 2
_space_group_name_Hall '-P 1'
_cell_length_a 8.712
_cell_length_b 8.729
_cell_length_c 9.394
_cell_angle_alpha 105.81
_cell_angle_beta 102.23
_cell_angle_gamma 114.26
loop_
_atom_site_label
_atom_site_type_symbol
_atom_site_fract_x
_atom_site_fract_y
_atom_site_fract_z
_atom_site_occupancy
Ho1 Ho 0.008 0.190 0.441 1
Ho2 Ho 0.169 0.724 0.022 1
Ho3 Ho 0.175 0.166 0.154 1
Ho4 Ho 0.316 0.647 0.721 1
Ho5 Ho 0.357 0.064 0.445 1
Ho6 Ho 0.467 0.567 0.176 1
Er1 Er 0.111 0.254 0.820 1
Er2 Er 0.158 0.581 0.339 1
Er3 Er 0.383 0.060 0.881 1
Cd1 Cd 0.500 0.500 0.500 1
```

---

## two
This record from Alexandria via LeMat-Bulk describes Ho12Er6Cd after structural relaxation. The functional is GGA-PBE.

Values from the calculation:
**Volume**: 31.00 Å³ per atom

```
data_Ho12Er6Cd
_chemical_formula_sum 'Ho36 Er18 Cd3'
_space_group_name_H-M_alt 'R -3'
_space_group_IT_number 148
_space_group_name_Hall '-R 3'
_cell_length_a 11.7318
_cell_length_b 11.7318
_cell_length_c 14.8220
_cell_angle_alpha 90.00
_cell_angle_beta 90.00
_cell_angle_gamma 120.00
loop_
_atom_site_label
_atom_site_type_symbol
_atom_site_fract_x
_atom_site_fract_y
_atom_site_fract_z
_atom_site_occupancy
Ho1 Ho 0.0075 0.1785 0.3143 1
Ho2 Ho 0.0469 0.8500 0.9151 1
Er1 Er 0.0213 0.4289 0.1901 1
Cd1 Cd 0.0000 0.0000 0.5000 1
```

---

Q: What are the energies relative to the best structure? A: one 0.0; two 3.9, in kJ/mol of atoms.

---

## one
This record from Alexandria via LeMat-Bulk describes Ho3Er2Cd after structural relaxation. The functional is GGA-PBE.

Values from the calculation:
**Volume**: 31.28 Å³ per atom

```
data_Ho3Er2Cd
_chemical_formula_sum 'Ho6 Er4 Cd2'
_space_group_name_H-M_alt 'I m m 2'
_space_group_IT_number 44
_space_group_name_Hall 'I 2 -2'
_cell_length_a 3.316
_cell_length_b 9.835
_cell_length_c 11.507
_cell_angle_alpha 90.00
_cell_angle_beta 90.00
_cell_angle_gamma 90.00
loop_
_atom_site_label
_atom_site_type_symbol
_atom_site_fract_x
_atom_site_fract_y
_atom_site_fract_z
_atom_site_occupancy
Ho1 Ho 0.000 0.000 0.000 1
Ho2 Ho 0.000 0.338 0.968 1
Er1 Er 0.000 0.172 0.717 1
Cd1 Cd 0.000 0.500 0.733 1
```

---

## two
This record from Alexandria via LeMat-Bulk describes Ho3Er2Cd after structural relaxation. The functional is GGA-PBE.

Values from the calculation:
**Volume**: 29.24 Å³ per atom

```
data_Ho3Er2Cd
_chemical_formula_sum 'Ho3 Er2 Cd1'
_space_group_name_H-M_alt 'P 4/m m m'
_space_group_IT_number 123
_space_group_name_Hall '-P 4 2'
_cell_length_a 3.531
_cell_length_b 3.531
_cell_length_c 14.074
_cell_angle_alpha 90.00
_cell_angle_beta 90.00
_cell_angle_gamma 90.00
loop_
_atom_site_label
_atom_site_type_symbol
_atom_site_fract_x
_atom_site_fract_y
_atom_site_fract_z
_atom_site_occupancy
Ho1 Ho 0.000 0.000 0.000 1
Ho2 Ho 0.000 0.000 0.351 1
Er1 Er 0.500 0.500 0.176 1
Cd1 Cd 0.500 0.500 0.500 1
```

---

Q: What are the energies relative to the best structure? A: one 41.8; two 0.0, in kJ/mol of atoms.

---

## one
This record from Alexandria via LeMat-Bulk describes Ho2ErCd2 after structural relaxation. The functional is GGA-PBE.

Values from the calculation:
**Volume**: 26.79 Å³ per atom

```
data_Ho2ErCd2
_chemical_formula_sum 'Ho4 Er2 Cd4'
_space_group_name_H-M_alt 'P 1 21/m 1'
_space_group_IT_number 11
_space_group_name_Hall '-P 2yb'
_cell_length_a 3.703
_cell_length_b 5.300
_cell_length_c 13.777
_cell_angle_alpha 90.00
_cell_angle_beta 97.75
_cell_angle_gamma 90.00
loop_
_atom_site_label
_atom_site_type_symbol
_atom_site_fract_x
_atom_site_fract_y
_atom_site_fract_z
_atom_site_occupancy
Ho1 Ho 0.046 0.250 0.091 1
Ho2 Ho 0.236 0.250 0.472 1
Er1 Er 0.150 0.750 0.298 1
Cd1 Cd 0.359 0.750 0.718 1
Cd2 Cd 0.448 0.250 0.896 1
```

---

## two
This record from Alexandria via LeMat-Bulk describes Ho2ErCd2 after structural relaxation. The functional is GGA-PBE.

Values from the calculation:
**Volume**: 27.64 Å³ per atom

```
data_Ho2ErCd2
_chemical_formula_sum 'Ho4 Er2 Cd4'
_space_group_name_H-M_alt 'I m m m'
_space_group_IT_number 71
_space_group_name_Hall '-I 2 2'
_cell_length_a 4.973
_cell_length_b 6.777
_cell_length_c 8.203
_cell_angle_alpha 90.00
_cell_angle_beta 90.00
_cell_angle_gamma 90.00
loop_
_atom_site_label
_atom_site_type_symbol
_atom_site_fract_x
_atom_site_fract_y
_atom_site_fract_z
_atom_site_occupancy
Ho1 Ho 0.000 0.000 0.198 1
Er1 Er 0.000 0.500 0.000 1
Cd1 Cd 0.000 0.289 0.500 1
```

---

Q: What are the energies relative to the best structure? A: one 0.0; two 9.7, in kJ/mol of atoms.

---

## one
This record from Alexandria via LeMat-Bulk describes Ho2ErCd4 after structural relaxation. The functional is GGA-PBE.

Values from the calculation:
**Volume**: 34.42 Å³ per atom

```
data_Ho2ErCd4
_chemical_formula_sum 'Ho4 Er2 Cd8'
_space_group_name_H-M_alt 'I 4/m m m'
_space_group_IT_number 139
_space_group_name_Hall '-I 4 2'
_cell_length_a 5.570
_cell_length_b 5.570
_cell_length_c 15.531
_cell_angle_alpha 90.00
_cell_angle_beta 90.00
_cell_angle_gamma 90.00
loop_
_atom_site_label
_atom_site_type_symbol
_atom_site_fract_x
_atom_site_fract_y
_atom_site_fract_z
_atom_site_occupancy
Ho1 Ho 0.000 0.000 0.102 1
Er1 Er 0.000 0.000 0.500 1
Cd1 Cd 0.000 0.000 0.304 1
Cd2 Cd 0.000 0.500 0.000 1
```

---

## two
This record from Alexandria via LeMat-Bulk describes Ho2ErCd4 after structural relaxation. The functional is GGA-PBE.

Values from the calculation:
**Volume**: 27.51 Å³ per atom

```
data_Ho2ErCd4
_chemical_formula_sum 'Ho4 Er2 Cd8'
_space_group_name_H-M_alt 'I 4/m m m'
_space_group_IT_number 139
_space_group_name_Hall '-I 4 2'
_cell_length_a 5.294
_cell_length_b 5.294
_cell_length_c 13.743
_cell_angle_alpha 90.00
_cell_angle_beta 90.00
_cell_angle_gamma 90.00
loop_
_atom_site_label
_atom_site_type_symbol
_atom_site_fract_x
_atom_site_fract_y
_atom_site_fract_z
_atom_site_occupancy
Ho1 Ho 0.000 0.000 0.242 1
Er1 Er 0.000 0.000 0.500 1
Cd1 Cd 0.000 0.500 0.115 1
```

---

Q: What are the energies relative to the best structure? A: one 44.8; two 0.0, in kJ/mol of atoms.